[1]
AcYAgHg, relaxed, DFT PBE; formation energy = -0.348 eV/atom; symmetry = F-43m; spin magnetization = 0.00 μB per formula unit
1.0
0.0000 3.8603 3.8603
3.8603 0.0000 3.8603
3.8603 3.8603 0.0000
Ac Y Ag Hg
1 1 1 1
direct
0.0000 0.0000 0.0000
0.5000 0.5000 0.5000
0.7500 0.7500 0.7500
0.2500 0.2500 0.2500


[2]
TeRu, relaxed, DFT PBE; energy relative to the elements, uncorrected = 0.114 eV per atom; symmetry = Cmcm; spin magnetization = 0.00 μB per formula unit
1.0
1.6066 -7.0822 0.0000
1.6066 7.0822 0.0000
0.0000 0.0000 3.9051
Te Ru
2 2
direct
0.1219 0.8781 0.7500
0.8781 0.1219 0.2500
0.3059 0.6941 0.7500
0.6941 0.3059 0.2500


[3]
CdCuBr2, relaxed, DFT PBE; energy relative to the elements, uncorrected = -0.222 eV per atom; symmetry = I-42d; spin magnetization = 0.00 μB per formula unit
1.0
-3.2582 3.2582 5.7562
3.2582 -3.2582 5.7562
3.2582 3.2582 -5.7562
Cd Cu Br
2 2 4
direct
0.0000 0.0000 0.0000
0.7500 0.2500 0.5000
0.2500 0.7500 0.5000
0.5000 0.5000 0.0000
0.1911 0.6250 0.0661
0.3750 0.4411 0.5661
0.5589 0.1250 0.9339
0.8750 0.8089 0.4339